Li2ScTlNi: optimized geometry, PBE-GGA.

Unit cell a=4.709 b=4.709 c=4.867 alpha=90.00 beta=90.00 gamma=90.00
Fractional positions:
Li: 0.000 0.500 0.000
Li: 0.500 0.000 0.000
Sc: 0.000 0.000 0.500
Tl: 0.500 0.500 0.000
Ni: 0.500 0.500 0.500

Calculated values
**V**: 21.588 Å³/atom
**SG**: P4/mmm (123)
**Formation energy**: 440 meV per atom


LiYScNi: optimized geometry, PBE-GGA.

Unit cell a=6.765 b=6.765 c=6.765 alpha=90.00 beta=90.00 gamma=90.00
Fractional positions:
Li: 0.000 0.000 0.000
Li: 0.000 0.500 0.500
Li: 0.500 0.000 0.500
Li: 0.500 0.500 0.000
Y: 0.250 0.250 0.750
Y: 0.250 0.750 0.250
Y: 0.750 0.250 0.250
Y: 0.750 0.750 0.750
Sc: 0.250 0.250 0.250
Sc: 0.250 0.750 0.750
Sc: 0.750 0.250 0.750
Sc: 0.750 0.750 0.250
Ni: 0.000 0.000 0.500
Ni: 0.000 0.500 0.000
Ni: 0.500 0.000 0.000
Ni: 0.500 0.500 0.500

Calculated values
**V**: 19.348 Å³/atom
**SG**: F-43m (216)
**Formation energy**: -151 meV per atom


LiNiSe: optimized geometry, PBE-GGA.

Unit cell a=8.745 b=3.481 c=6.143 alpha=90.00 beta=95.74 gamma=90.00
Fractional positions:
Li: 0.000 0.000 0.000
Li: 0.243 0.000 0.642
Li: 0.500 0.500 0.000
Li: 0.743 0.500 0.642
Ni: 0.139 0.500 0.336
Ni: 0.434 0.500 0.413
Ni: 0.639 0.000 0.336
Ni: 0.934 0.000 0.413
Se: 0.033 0.500 0.681
Se: 0.290 0.000 0.203
Se: 0.533 0.000 0.681
Se: 0.790 0.500 0.203

Calculated values
**E above lowest polymorph**: 62 meV/atom
**V**: 15.508 Å³/atom
**SG**: Cm (8)
**Formation energy without anion corrections**: -0.550 eV per atom


LiNiSe: optimized geometry, PBE-GGA.

Unit cell a=4.019 b=4.019 c=6.979 alpha=90.00 beta=90.00 gamma=120.00
Fractional positions:
Li: 0.000 0.000 0.000
Li: 0.333 0.667 0.289
Ni: 0.333 0.667 0.690
Ni: 0.667 0.333 0.792
Se: 0.000 0.000 0.611
Se: 0.667 0.333 0.131

Calculated values
**E above lowest polymorph**: 51 meV/atom
**V**: 16.273 Å³/atom
**SG**: P3m1 (156)
**Formation energy without anion corrections**: -0.561 eV per atom